1.
DFT (PBE-GGA) results for crystalline MnTe5 at its relaxed geometry.

Summary:
DOS at the Fermi energy, states/eV/cell: 3.2
E_form (uncorrected), eV per atom: 0.046
E_tot, eV/atom: -4.100
Space group: Cm
Spin magnetization, μB per cell: 2.06

extended XYZ file:
```
6
Lattice="1.773 6.674 1.114 -1.773 6.674 1.114 0.000 2.137 7.892" Properties=species:S:1:pos:R:3 pbc="T T T"
Mn 0.000 2.173 7.346
Te 0.000 4.277 3.510
Te 0.000 10.762 7.752
Te 0.000 7.202 2.571
Te 0.000 1.456 4.790
Te 0.000 6.795 8.368
```



2.
DFT (PBE-GGA) results for crystalline LiInSn at its relaxed geometry.

Summary:
DOS at the Fermi energy, states/eV/cell: 2.1
E_form, eV/atom: -0.19
E_tot, eV/atom: -3.075
Space group: P1
Spin magnetization, μB per cell: 0.00

extended XYZ file:
```
6
Lattice="4.482 0.015 -0.026 -2.174 5.070 0.031 -0.028 -1.992 6.199" Properties=species:S:1:pos:R:3 pbc="T T T"
Li -0.306 1.676 0.960
Li 1.909 -1.368 5.069
Sn -0.305 0.637 4.127
Sn 1.943 1.695 6.122
In 1.909 -0.313 1.901
In 1.946 2.689 3.021
```



3.
DFT (PBE-GGA) results for crystalline K2TbPmSe4 at its relaxed geometry.

Summary:
DOS at the Fermi energy, states/eV/cell: 0.0
E_form (uncorrected), eV per atom: -1.762
E_tot, eV/atom: -4.951
Space group: P2/m
Spin magnetization, μB per cell: 0.00

extended XYZ file:
```
8
Lattice="4.276 0.000 0.000 0.000 7.404 0.125 0.000 -2.599 7.649" Properties=species:S:1:pos:R:3 pbc="T T T"
K 2.138 -1.299 3.825
K 0.000 2.403 3.887
Tb 0.000 0.000 0.000
Pm 2.138 3.702 0.063
Se 2.138 1.173 1.610
Se 2.138 3.632 6.164
Se 0.000 -0.139 6.084
Se 0.000 4.944 1.690
```



4.
DFT (PBE-GGA) results for crystalline ErTmTl at its relaxed geometry.

Summary:
DOS at the Fermi energy, states/eV/cell: 6.7
E above lowest polymorph, eV per atom: 0.4979
E_form, eV/atom: 0.25
E_tot, eV/atom: -3.546
Space group: Cmmm
Spin magnetization, μB per cell: 1.84

extended XYZ file:
```
6
Lattice="4.881 0.000 0.000 0.000 6.644 0.267 0.000 -0.318 6.642" Properties=species:S:1:pos:R:3 pbc="T T T"
Tl 0.000 0.000 0.000
Tl 2.440 3.163 3.454
Tm 0.000 4.346 4.747
Tm 0.000 1.980 2.162
Er 2.440 0.987 5.446
Er 2.440 5.338 1.463
```



5.
DFT (PBE-GGA) results for crystalline Tb4Ho3Pu at its relaxed geometry.

Summary:
DOS at the Fermi energy, states/eV/cell: 17.2
E above lowest polymorph, eV per atom: 0.0931
E_form, eV/atom: 0.15
E_tot, eV/atom: -5.673
Space group: Immm
Spin magnetization, μB per cell: 6.22

extended XYZ file:
```
8
Lattice="3.322 0.000 -0.804 -1.184 10.352 -4.893 0.277 -2.393 8.410" Properties=species:S:1:pos:R:3 pbc="T T T"
Tb 1.722 3.298 -0.151
Tb 0.693 4.662 2.864
Tb 1.290 -0.560 5.332
Tb 1.125 8.519 -2.619
Ho -0.592 5.176 -2.446
Ho 1.778 6.641 0.079
Ho 0.638 1.318 2.634
Pu 1.661 0.000 -0.402
```



6.
DFT (PBE-GGA) results for crystalline Na2NiN at its relaxed geometry.

Summary:
DOS at the Fermi energy, states/eV/cell: 2.7
E_form (uncorrected), eV per atom: -0.093
E_tot, eV/atom: -4.280
Space group: I-42d
Spin magnetization, μB per cell: 0.00

extended XYZ file:
```
8
Lattice="9.804 0.000 0.000 0.000 9.804 0.000 4.902 4.902 1.745" Properties=species:S:1:pos:R:3 pbc="T T T"
Ni 0.000 0.000 0.000
Ni 9.804 4.902 0.872
N 4.902 4.902 0.000
N 4.902 9.804 0.872
Na 5.043 2.451 0.436
Na 4.761 7.353 0.436
Na 7.353 9.663 1.308
Na 12.255 9.945 1.308
```



7.
DFT (PBE-GGA) results for crystalline Ac3GaPd at its relaxed geometry.

Summary:
DOS at the Fermi energy, states/eV/cell: 17.8
E_form, eV/atom: -0.43
E_tot, eV/atom: -4.540
Space group: P2_1/c
Spin magnetization, μB per cell: 0.00

extended XYZ file:
```
20
Lattice="7.151 0.000 0.000 0.000 10.395 0.035 0.000 -4.106 9.414" Properties=species:S:1:pos:R:3 pbc="T T T"
Ac 0.476 2.890 8.276
Ac 6.675 3.399 1.173
Ac 4.052 8.596 1.190
Ac 3.100 -2.307 8.259
Ac 4.218 1.388 7.484
Ac 2.933 4.901 1.965
Ac 0.643 -0.296 1.948
Ac 6.509 6.585 7.501
Ac 0.572 -0.228 5.671
Ac 6.580 6.517 3.778
Ac 4.147 1.320 3.760
Ac 3.004 4.969 5.689
Ga 6.060 3.599 5.355
Ga 1.092 2.690 4.094
Ga 2.484 7.888 4.111
Ga 4.667 -1.599 5.338
Pd 1.619 0.188 8.570
Pd 5.532 6.101 0.879
Pd 5.195 0.904 0.862
Pd 1.956 5.385 8.587
```



8.
DFT (PBE-GGA) results for crystalline LiOs2Se at its relaxed geometry.

Summary:
DOS at the Fermi energy, states/eV/cell: 1.8
E_form (uncorrected), eV per atom: 0.285
E_tot, eV/atom: -6.679
Space group: Cm
Spin magnetization, μB per cell: 0.00

extended XYZ file:
```
4
Lattice="4.294 0.011 0.004 3.384 2.644 0.004 2.270 0.785 6.179" Properties=species:S:1:pos:R:3 pbc="T T T"
Li 2.300 0.795 1.563
Os 2.450 0.847 6.004
Os 8.099 2.801 5.022
Se 4.341 1.501 2.873
```